<1>
Be2TlSb, optimized geometry, DFT PBE; space-group type = Cmmm; total moment = 0.000 μB per atom
1.0
1.9699 -2.8709 0.0000
1.9699 2.8709 0.0000
0.0000 0.0000 7.0444
Be Tl Sb
2 1 1
Direct
0.0000 0.0000 0.2264
0.0000 0.0000 0.7736
0.5000 0.5000 0.5000
0.5000 0.5000 0.0000

=====

<2>
Be2TlSb, optimized geometry, DFT PBE; space-group type = Immm; total moment = 0.000 μB per atom
1.0
-1.9342 2.7253 3.7033
1.9342 -2.7253 3.7033
1.9342 2.7253 -3.7033
Be Tl Sb
2 1 1
Direct
0.2365 0.2365 0.0000
0.7635 0.7635 0.0000
0.5000 0.0000 0.5000
0.0000 0.5000 0.5000

=====

<3>
Be2TlSb, optimized geometry, DFT PBE; space-group type = Cm; total moment = 0.000 μB per atom
1.0
3.2975 -1.9031 0.0000
3.2975 1.9031 0.0000
-2.2215 0.0000 6.7145
Be Tl Sb
2 1 1
Direct
0.0000 0.0000 0.0000
0.6676 0.6676 0.0030
0.2306 0.2306 0.6919
0.4047 0.4047 0.2124

=====

Quick one: least stable of them? <1>

=====

<1>
Be3TlSb, optimized geometry, DFT PBE; space-group type = Pm-3m; total moment = 0.000 μB per atom
1.0
4.7819 0.0000 0.0000
0.0000 4.7819 0.0000
0.0000 0.0000 4.7819
Be Tl Sb
3 1 1
Direct
0.0000 0.0000 0.5000
0.0000 0.5000 0.0000
0.5000 0.0000 0.0000
0.5000 0.5000 0.5000
0.0000 0.0000 0.0000

=====

<2>
Be3TlSb, optimized geometry, DFT PBE; space-group type = Pm-3m; total moment = 0.000 μB per atom
1.0
4.6253 0.0000 0.0000
0.0000 4.6253 0.0000
0.0000 0.0000 4.6253
Be Tl Sb
3 1 1
Direct
0.0000 0.0000 0.5000
0.0000 0.5000 0.0000
0.5000 0.0000 0.0000
0.0000 0.0000 0.0000
0.5000 0.5000 0.5000

=====

Quick one: least stable of them? <2>

=====

<1>
Be3VSb, optimized geometry, DFT PBE; space-group type = Pm-3m; total moment = 0.601 μB per atom
1.0
4.5616 0.0000 0.0000
0.0000 4.5616 0.0000
0.0000 0.0000 4.5616
Be V Sb
3 1 1
Direct
0.0000 0.0000 0.5000
0.0000 0.5000 0.0000
0.5000 0.0000 0.0000
0.5000 0.5000 0.5000
0.0000 0.0000 0.0000

=====

<2>
Be3VSb, optimized geometry, DFT PBE; space-group type = Pm-3m; total moment = 0.170 μB per atom
1.0
4.3450 0.0000 0.0000
0.0000 4.3450 0.0000
0.0000 0.0000 4.3450
Be V Sb
3 1 1
Direct
0.0000 0.0000 0.5000
0.0000 0.5000 0.0000
0.5000 0.0000 0.0000
0.0000 0.0000 0.0000
0.5000 0.5000 0.5000

=====

Quick one: least stable of them? <1>

=====

<1>
BeSbW2, optimized geometry, DFT PBE; space-group type = Imm2; total moment = 0.000 μB per atom
1.0
-1.7477 2.1855 4.1358
1.7477 -2.1855 4.1358
1.7477 2.1855 -4.1358
Be Sb W
1 1 2
Direct
0.0000 0.0000 0.0000
0.2512 0.7512 0.5000
0.5168 0.5168 0.0000
0.7679 0.2679 0.5000

=====

<2>
BeSbW2, optimized geometry, DFT PBE; space-group type = R3m; total moment = 0.000 μB per atom
1.0
1.5549 0.8977 8.3132
-1.5549 0.8977 8.3132
0.0000 -1.7954 8.3132
Be Sb W
1 1 2
Direct
0.0000 0.0000 0.0000
0.7576 0.7576 0.7576
0.2591 0.2591 0.2591
0.5170 0.5170 0.5170

=====

Quick one: least stable of them? <2>

=====

<1>
BeSbW2, optimized geometry, DFT PBE; space-group type = R-3m; total moment = 0.000 μB per atom
1.0
1.6670 0.9625 6.6776
-1.6670 0.9625 6.6776
0.0000 -1.9249 6.6776
Be Sb W
1 1 2
Direct
0.0000 0.0000 0.0000
0.5000 0.5000 0.5000
0.2749 0.2749 0.2749
0.7251 0.7251 0.7251

=====

<2>
BeSbW2, optimized geometry, DFT PBE; space-group type = Cmm2; total moment = 0.000 μB per atom
1.0
1.6819 -2.2981 0.0000
1.6819 2.2981 0.0000
0.0000 0.0000 9.0456
Be Sb W
1 1 2
Direct
0.0000 0.0000 0.0000
0.5000 0.5000 0.3115
0.0000 0.0000 0.5759
0.5000 0.5000 0.8133

=====

<3>
BeSbW2, optimized geometry, DFT PBE; space-group type = C2/m; total moment = 0.000 μB per atom
1.0
4.4673 -1.6018 0.0000
4.4673 1.6018 0.0000
-0.6800 0.0000 4.6102
Be Sb W
1 1 2
Direct
0.0000 0.0000 0.0000
0.5000 0.5000 0.5000
0.2534 0.2534 0.7865
0.7466 0.7466 0.2135

=====

<4>
BeSbW2, optimized geometry, DFT PBE; space-group type = F-43m; total moment = 0.000 μB per atom
1.0
0.0000 3.1732 3.1732
3.1732 0.0000 3.1732
3.1732 3.1732 0.0000
Be Sb W
1 1 2
Direct
0.0000 0.0000 0.0000
0.2500 0.2500 0.2500
0.5000 0.5000 0.5000
0.7500 0.7500 0.7500

=====

Quick one: least stable of them? <4>

=====

<1>
BeSbW2, optimized geometry, DFT PBE; space-group type = P2/m; total moment = 0.000 μB per atom
1.0
4.5319 0.0000 0.0000
0.0000 3.1724 0.0000
-1.5670 0.0000 4.5349
Be Sb W
1 1 2
Direct
0.0000 0.0000 0.0000
0.5000 0.5000 0.0000
0.0000 0.5000 0.5000
0.5000 0.0000 0.5000

=====

<2>
BeSbW2, optimized geometry, DFT PBE; space-group type = I4/mmm; total moment = 0.000 μB per atom
1.0
-1.9337 1.9337 4.2669
1.9337 -1.9337 4.2669
1.9337 1.9337 -4.2669
Be Sb W
1 1 2
Direct
0.0000 0.0000 0.0000
0.5000 0.5000 0.0000
0.2500 0.7500 0.5000
0.7500 0.2500 0.5000

=====

Quick one: least stable of them? <2>